# RbTiGa2Re

A relaxed structure of RbTiGa2Re (PBE, Alexandria via LeMat-Bulk).

Properties
energy relative to the elements: 1.4 eV per formula unit
D(E_F): 2.1 states/eV/f.u.
total DFT energy (no corrections): -26.0 eV per formula unit
crystal system: tetragonal
SG: P4/mmm, No. 123
excess energy over the best structure of this formula in the dataset: 0 meV/atom

a = 5.0877 Å, b = 5.0877 Å, c = 4.7570 Å
α = 90.00°, β = 90.00°, γ = 90.00°
Fractional coordinates of all 5 atoms:
Rb: 0.0000 0.0000 0.0000
Ti: 0.5000 0.5000 0.0000
Ga: 0.0000 0.5000 0.5000
Ga: 0.5000 0.0000 0.5000
Re: 0.5000 0.5000 0.5000